[1]
# U2Ge2Rh PBE-GGA relaxed
# energy of formation from the pure elements	-0.37	eV/atom
# total DFT energy (no corrections)	-8.20	eV/atom
# magnetization	2.78	μB/f.u.
# N(E_F)	25.75	states/eV/cell
data_U2Ge2Rh
_cell_length_a 4.569
_cell_length_b 14.507
_cell_length_c 5.872
_cell_angle_alpha 90.00
_cell_angle_beta 90.00
_cell_angle_gamma 90.00
_space_group_name_H-M_alt 'C m c 21'
_space_group_IT_number 36
loop_
_space_group_symop_operation_xyz
'x,y,z'
'-x,-y,z+1/2'
'-x,y,z'
'x,-y,z+1/2'
'x+1/2,y+1/2,z'
'-x+1/2,-y+1/2,z+1/2'
'-x+1/2,y+1/2,z'
'x+1/2,-y+1/2,z+1/2'
loop_
_atom_site_label
_atom_site_fract_x
_atom_site_fract_y
_atom_site_fract_z
U1 0.000 0.024 0.000
U2 0.000 0.193 0.852
Ge1 0.000 0.179 0.349
Ge2 0.000 0.422 0.215
Rh1 0.000 0.396 0.787

=====

[2]
# BaCa2Eu PBE-GGA relaxed
# energy of formation from the pure elements	0.04	eV/atom
# total DFT energy (no corrections)	-4.01	eV/atom
# magnetization	8.12	μB/f.u.
# N(E_F)	48.46	states/eV/cell
# energy above the most stable polymorph in this dataset	13	meV/atom
data_BaCa2Eu
_cell_length_a 9.120
_cell_length_b 9.120
_cell_length_c 9.120
_cell_angle_alpha 90.00
_cell_angle_beta 90.00
_cell_angle_gamma 90.00
_space_group_name_H-M_alt 'F m -3 m'
_space_group_IT_number 225
_space_group_name_Hall '-F 4 2 3'
loop_
_atom_site_label
_atom_site_fract_x
_atom_site_fract_y
_atom_site_fract_z
Ba1 0.000 0.000 0.000
Ca1 0.250 0.250 0.250
Eu1 0.000 0.000 0.500